{
  "formula": "Mg2PdAu3",
  "functional": "PBE-GGA",
  "state": "relaxed",
  "final_energy_ev_per_cell": -41.5,
  "e_above_lowest_polymorph_ev_per_atom": 0.000,
  "ef_ev_per_atom": -0.4250,
  "m_tot_mub_per_cell": 0.000,
  "lattice_angstrom": [[5.257, 0.000, -2.182], [-0.920, 5.182, -2.215], [0.218, 0.290, 7.947]],
  "species": ["Au", "Pd", "Mg", "Au", "Mg", "Au", "Au", "Pd", "Au", "Mg", "Mg", "Au"],
  "fractional_positions": [[0.500, 0.250, 0.000], [0.000, 0.750, 0.000], [0.605, 0.849, 0.698], [0.500, 0.750, 0.000], [0.093, 0.349, 0.698], [0.909, 0.153, 0.306], [0.397, 0.653, 0.306], [0.000, 0.250, 0.000], [0.603, 0.347, 0.694], [0.907, 0.651, 0.302], [0.395, 0.151, 0.302], [0.091, 0.847, 0.694]]
}


{
  "formula": "MgPd3Au6",
  "functional": "PBE-GGA",
  "state": "relaxed",
  "final_energy_ev_per_cell": -76.4,
  "e_above_lowest_polymorph_ev_per_atom": 0.006,
  "ef_ev_per_atom": -0.1365,
  "m_tot_mub_per_cell": 0.000,
  "lattice_angstrom": [[5.422, 0.000, 0.000], [0.000, 8.933, -2.061], [0.000, -4.002, 8.248]],
  "species": ["Mg", "Au", "Au", "Mg", "Au", "Au", "Pd", "Au", "Pd", "Pd", "Au", "Au", "Au", "Au", "Au", "Pd", "Pd", "Pd", "Au", "Au"],
  "fractional_positions": [[0.537, 0.840, 0.160], [0.835, 0.532, 0.089], [0.335, 0.089, 0.532], [0.037, 0.160, 0.840], [0.765, 0.312, 0.688], [0.835, 0.911, 0.468], [0.157, 0.412, 0.588], [0.780, 0.012, 0.988], [0.485, 0.940, 0.701], [0.985, 0.701, 0.940], [0.554, 0.645, 0.743], [0.554, 0.257, 0.355], [0.054, 0.355, 0.257], [0.054, 0.743, 0.645], [0.280, 0.988, 0.012], [0.485, 0.299, 0.060], [0.657, 0.588, 0.412], [0.985, 0.060, 0.299], [0.335, 0.468, 0.911], [0.265, 0.688, 0.312]]
}


{
  "formula": "Mg3Pd4Au2",
  "functional": "PBE-GGA",
  "state": "relaxed",
  "final_energy_ev_per_cell": -73.6,
  "ef_ev_per_atom": -0.5206,
  "m_tot_mub_per_cell": 0.000,
  "lattice_angstrom": [[4.844, -0.446, -0.319], [-0.304, 8.097, -0.097], [-0.304, 2.517, 7.696]],
  "species": ["Mg", "Pd", "Au", "Pd", "Mg", "Mg", "Pd", "Pd", "Au", "Mg", "Mg", "Au", "Pd", "Au", "Pd", "Pd", "Pd", "Mg"],
  "fractional_positions": [[0.422, 0.715, 0.963], [0.026, 0.181, 0.929], [0.860, 0.597, 0.846], [0.526, 0.929, 0.181], [0.578, 0.285, 0.037], [0.250, 0.624, 0.376], [0.474, 0.071, 0.819], [0.974, 0.819, 0.071], [0.640, 0.154, 0.403], [0.750, 0.376, 0.624], [0.922, 0.963, 0.715], [0.140, 0.403, 0.154], [0.308, 0.485, 0.735], [0.360, 0.846, 0.597], [0.692, 0.515, 0.265], [0.192, 0.265, 0.515], [0.808, 0.735, 0.485], [0.078, 0.037, 0.285]]
}


{
  "formula": "Mg6Pd2Au",
  "functional": "PBE-GGA",
  "state": "relaxed",
  "final_energy_ev_per_cell": -55.3,
  "e_above_lowest_polymorph_ev_per_atom": 0.000,
  "ef_ev_per_atom": -0.4903,
  "m_tot_mub_per_cell": 0.000,
  "lattice_angstrom": [[-0.435, 4.406, -0.024], [-8.575, -0.850, -0.735], [-0.737, -0.026, 8.619]],
  "species": ["Mg", "Pd", "Au", "Mg", "Pd", "Mg", "Mg", "Pd", "Mg", "Mg", "Mg", "Mg", "Mg", "Mg", "Pd", "Mg", "Au", "Mg"],
  "fractional_positions": [[0.000, 0.368, 0.131], [0.500, 0.802, 0.699], [0.000, 0.000, 0.500], [0.500, 0.132, 0.631], [0.000, 0.698, 0.199], [0.000, 0.683, 0.525], [0.500, 0.525, 0.317], [0.000, 0.302, 0.801], [0.000, 0.317, 0.475], [0.500, 0.183, 0.975], [0.000, 0.632, 0.869], [0.000, 0.975, 0.817], [0.500, 0.868, 0.369], [0.500, 0.475, 0.683], [0.500, 0.198, 0.301], [0.000, 0.025, 0.183], [0.500, 0.500, 0.000], [0.500, 0.817, 0.025]]
}


{
  "formula": "Mg2Pd4Au3",
  "functional": "PBE-GGA",
  "state": "relaxed",
  "final_energy_ev_per_cell": -73.6,
  "e_above_lowest_polymorph_ev_per_atom": 0.129,
  "ef_ev_per_atom": -0.3362,
  "m_tot_mub_per_cell": 0.000,
  "lattice_angstrom": [[5.275, 0.292, 0.209], [0.803, 7.682, -0.538], [0.803, 1.966, 7.445]],
  "species": ["Pd", "Au", "Pd", "Au", "Pd", "Pd", "Au", "Au", "Pd", "Au", "Mg", "Pd", "Mg", "Pd", "Pd", "Mg", "Au", "Mg"],
  "fractional_positions": [[0.507, 0.172, 0.706], [0.561, 0.166, 0.053], [0.599, 0.499, 0.160], [0.061, 0.053, 0.166], [0.401, 0.501, 0.840], [0.099, 0.160, 0.499], [0.250, 0.507, 0.493], [0.750, 0.493, 0.507], [0.007, 0.706, 0.172], [0.939, 0.947, 0.834], [0.878, 0.619, 0.830], [0.493, 0.828, 0.294], [0.378, 0.830, 0.619], [0.901, 0.840, 0.501], [0.993, 0.294, 0.828], [0.622, 0.170, 0.381], [0.439, 0.834, 0.947], [0.122, 0.381, 0.170]]
}


{
  "formula": "Mg7Pd2Au2",
  "functional": "PBE-GGA",
  "state": "relaxed",
  "final_energy_ev_per_cell": -31.8,
  "ef_ev_per_atom": -0.3361,
  "m_tot_mub_per_cell": 0.000,
  "lattice_angstrom": [[-4.762, 0.229, -3.506], [2.318, -5.399, -3.503], [-1.758, -3.587, 4.366]],
  "species": ["Au", "Pd", "Mg", "Mg", "Au", "Pd", "Mg", "Mg", "Mg", "Mg", "Mg"],
  "fractional_positions": [[0.705, 0.000, 0.295], [0.813, 0.500, 0.813], [0.500, 0.287, 0.500], [0.500, 0.713, 0.500], [0.295, 0.000, 0.705], [0.187, 0.500, 0.187], [0.000, 0.285, 0.500], [0.000, 0.715, 0.500], [0.500, 0.285, 0.000], [0.500, 0.715, 0.000], [0.000, 0.000, 0.000]]
}


{
  "formula": "Mg4Pd2Au",
  "functional": "PBE-GGA",
  "state": "relaxed",
  "final_energy_ev_per_cell": -24.1,
  "e_above_lowest_polymorph_ev_per_atom": 0.000,
  "ef_ev_per_atom": -0.5741,
  "m_tot_mub_per_cell": 0.000,
  "lattice_angstrom": [[4.356, 0.000, 1.361], [1.965, 3.887, 1.361], [-0.004, -0.002, 7.664]],
  "species": ["Mg", "Mg", "Pd", "Pd", "Au", "Mg", "Mg"],
  "fractional_positions": [[0.130, 0.130, 0.610], [0.384, 0.384, 0.848], [0.255, 0.255, 0.234], [0.745, 0.745, 0.766], [0.000, 0.000, 0.000], [0.616, 0.616, 0.152], [0.870, 0.870, 0.390]]
}


{
  "formula": "Mg2Pd3Au3",
  "functional": "PBE-GGA",
  "state": "relaxed",
  "final_energy_ev_per_cell": -33.0,
  "e_above_lowest_polymorph_ev_per_atom": 0.000,
  "ef_ev_per_atom": -0.5504,
  "m_tot_mub_per_cell": 0.000,
  "lattice_angstrom": [[-1.061, -1.322, -3.746], [2.382, -3.248, 0.471], [-6.086, -4.008, 3.138]],
  "species": ["Pd", "Au", "Au", "Au", "Mg", "Pd", "Mg", "Pd"],
  "fractional_positions": [[0.500, 0.000, 0.500], [0.500, 0.500, 0.746], [0.500, 0.000, 0.000], [0.500, 0.500, 0.254], [0.000, 0.000, 0.742], [0.000, 0.500, 0.500], [0.000, 0.000, 0.258], [0.000, 0.500, 0.000]]
}


{
  "formula": "MgPd4Au5",
  "functional": "PBE-GGA",
  "state": "relaxed",
  "final_energy_ev_per_cell": -40.3,
  "e_above_lowest_polymorph_ev_per_atom": 0.000,
  "ef_ev_per_atom": -0.1502,
  "m_tot_mub_per_cell": 0.000,
  "lattice_angstrom": [[4.098, 0.000, -0.993], [-0.644, 6.253, -2.659], [-0.365, -0.763, 7.449]],
  "species": ["Au", "Pd", "Au", "Au", "Pd", "Au", "Au", "Mg", "Pd", "Pd"],
  "fractional_positions": [[0.500, 0.500, 0.000], [0.980, 0.203, 0.961], [0.161, 0.623, 0.322], [0.839, 0.377, 0.678], [0.020, 0.797, 0.039], [0.184, 0.241, 0.368], [0.816, 0.759, 0.632], [0.500, 0.000, 0.000], [0.674, 0.936, 0.348], [0.326, 0.064, 0.652]]
}


{
  "formula": "Mg5PdAu8",
  "functional": "PBE-GGA",
  "state": "relaxed",
  "final_energy_ev_per_cell": -44.9,
  "ef_ev_per_atom": -0.3946,
  "m_tot_mub_per_cell": 0.000,
  "lattice_angstrom": [[-5.772, 3.951, -0.185], [1.041, -2.890, -6.286], [-0.765, -5.049, 4.783]],
  "species": ["Mg", "Mg", "Mg", "Au", "Au", "Au", "Au", "Mg", "Au", "Au", "Mg", "Pd", "Au", "Au"],
  "fractional_positions": [[0.015, 0.343, 0.117], [0.500, 0.000, 0.500], [0.773, 0.657, 0.672], [0.336, 0.273, 0.404], [0.634, 0.409, 0.898], [0.102, 0.736, 0.512], [0.775, 0.264, 0.366], [0.328, 0.101, 0.985], [0.488, 0.591, 0.225], [0.131, 0.727, 0.062], [0.883, 0.899, 0.227], [0.250, 0.500, 0.750], [0.938, 0.068, 0.664], [0.596, 0.932, 0.869]]
}


{
  "formula": "Mg3Pd12Au",
  "functional": "PBE-GGA",
  "state": "relaxed",
  "final_energy_ev_per_cell": -76.2,
  "ef_ev_per_atom": -0.3671,
  "m_tot_mub_per_cell": 0.001,
  "lattice_angstrom": [[3.980, 0.000, 0.000], [0.000, 3.980, 0.000], [0.000, 0.000, 15.879]],
  "species": ["Au", "Pd", "Mg", "Pd", "Mg", "Mg", "Pd", "Pd", "Pd", "Pd", "Pd", "Pd", "Pd", "Pd", "Pd", "Pd"],
  "fractional_positions": [[0.000, 0.000, 0.000], [0.000, 0.500, 0.376], [0.000, 0.000, 0.748], [0.500, 0.500, 0.000], [0.000, 0.000, 0.500], [0.000, 0.000, 0.252], [0.000, 0.500, 0.872], [0.500, 0.000, 0.624], [0.500, 0.000, 0.872], [0.500, 0.000, 0.128], [0.500, 0.500, 0.748], [0.000, 0.500, 0.624], [0.500, 0.500, 0.500], [0.500, 0.500, 0.252], [0.000, 0.500, 0.128], [0.500, 0.000, 0.376]]
}


{
  "formula": "Mg2Pd8Au",
  "functional": "PBE-GGA",
  "state": "relaxed",
  "final_energy_ev_per_cell": -51.1,
  "ef_ev_per_atom": -0.2772,
  "m_tot_mub_per_cell": 0.000,
  "lattice_angstrom": [[-1.933, -2.076, -3.154], [3.332, 3.883, -4.598], [3.869, -4.969, 3.753]],
  "species": ["Pd", "Pd", "Pd", "Mg", "Au", "Mg", "Pd", "Pd", "Pd", "Pd", "Pd"],
  "fractional_positions": [[0.653, 0.867, 0.306], [0.154, 0.154, 0.307], [0.347, 0.561, 0.694], [0.801, 0.301, 0.602], [0.500, 0.000, 0.000], [0.199, 0.699, 0.398], [0.846, 0.846, 0.693], [0.653, 0.439, 0.306], [0.000, 0.699, 0.000], [0.347, 0.133, 0.694], [0.000, 0.301, 0.000]]
}


{
  "formula": "Mg4PdAu2",
  "functional": "PBE-GGA",
  "state": "relaxed",
  "final_energy_ev_per_cell": -22.4,
  "ef_ev_per_atom": -0.6092,
  "m_tot_mub_per_cell": 0.000,
  "lattice_angstrom": [[4.362, 0.000, 1.363], [1.968, 3.893, 1.363], [-0.059, -0.036, 7.851]],
  "species": ["Au", "Mg", "Pd", "Au", "Mg", "Mg", "Mg"],
  "fractional_positions": [[0.251, 0.251, 0.246], [0.623, 0.623, 0.132], [0.000, 0.000, 0.000], [0.749, 0.749, 0.754], [0.377, 0.377, 0.868], [0.127, 0.127, 0.620], [0.873, 0.873, 0.380]]
}


{
  "formula": "Mg2Pd12Au5",
  "functional": "PBE-GGA",
  "state": "relaxed",
  "final_energy_ev_per_cell": -85.0,
  "e_above_lowest_polymorph_ev_per_atom": 0.000,
  "ef_ev_per_atom": -0.1653,
  "m_tot_mub_per_cell": 0.000,
  "lattice_angstrom": [[-4.559, 0.219, 1.884], [-1.149, -8.024, 2.093], [1.648, -1.398, 8.088]],
  "species": ["Pd", "Au", "Au", "Pd", "Mg", "Pd", "Mg", "Pd", "Pd", "Pd", "Au", "Pd", "Pd", "Au", "Pd", "Au", "Pd", "Pd", "Pd"],
  "fractional_positions": [[0.204, 0.052, 0.550], [0.554, 0.783, 0.783], [0.125, 0.668, 0.668], [0.289, 0.446, 0.446], [0.000, 0.755, 0.245], [0.711, 0.554, 0.554], [0.000, 0.245, 0.755], [0.383, 0.351, 0.848], [0.383, 0.848, 0.351], [0.204, 0.550, 0.052], [0.446, 0.217, 0.217], [0.796, 0.948, 0.450], [0.991, 0.112, 0.112], [0.500, 0.000, 0.000], [0.009, 0.888, 0.888], [0.875, 0.332, 0.332], [0.617, 0.152, 0.649], [0.796, 0.450, 0.948], [0.617, 0.649, 0.152]]
}


{
  "formula": "Mg2PdAu3",
  "functional": "PBE-GGA",
  "state": "relaxed",
  "final_energy_ev_per_cell": -41.2,
  "e_above_lowest_polymorph_ev_per_atom": 0.026,
  "ef_ev_per_atom": -0.3990,
  "m_tot_mub_per_cell": 0.000,
  "lattice_angstrom": [[-4.257, -2.304, 2.481], [3.387, -0.461, 4.231], [-2.330, 6.067, 3.786]],
  "species": ["Mg", "Au", "Mg", "Au", "Mg", "Mg", "Pd", "Au", "Au", "Pd", "Au", "Au"],
  "fractional_positions": [[0.631, 0.107, 0.629], [0.853, 0.689, 0.485], [0.107, 0.631, 0.129], [0.552, 0.448, 0.250], [0.893, 0.369, 0.871], [0.369, 0.893, 0.371], [0.114, 0.886, 0.750], [0.311, 0.147, 0.015], [0.147, 0.311, 0.515], [0.886, 0.114, 0.250], [0.689, 0.853, 0.985], [0.448, 0.552, 0.750]]
}


{
  "formula": "Mg2PdAu2",
  "functional": "PBE-GGA",
  "state": "relaxed",
  "final_energy_ev_per_cell": -17.7,
  "e_above_lowest_polymorph_ev_per_atom": 0.000,
  "ef_ev_per_atom": -0.5567,
  "m_tot_mub_per_cell": 0.000,
  "lattice_angstrom": [[-2.923, 3.419, 0.190], [-4.353, -0.845, 0.780], [-1.585, 1.238, 5.113]],
  "species": ["Mg", "Au", "Pd", "Au", "Mg"],
  "fractional_positions": [[0.605, 0.105, 0.187], [0.793, 0.293, 0.620], [0.000, 0.500, 0.000], [0.207, 0.707, 0.380], [0.395, 0.895, 0.813]]
}


{
  "formula": "Mg4Pd3Au2",
  "functional": "PBE-GGA",
  "state": "relaxed",
  "final_energy_ev_per_cell": -34.0,
  "ef_ev_per_atom": -0.6073,
  "m_tot_mub_per_cell": 0.000,
  "lattice_angstrom": [[4.220, 0.001, 0.001], [2.110, 4.273, 0.555], [-0.001, 0.564, 8.465]],
  "species": ["Mg", "Au", "Mg", "Pd", "Mg", "Mg", "Pd", "Pd", "Au"],
  "fractional_positions": [[0.341, 0.317, 0.111], [0.677, 0.644, 0.221], [0.019, 0.960, 0.339], [0.338, 0.324, 0.434], [0.659, 0.683, 0.889], [0.981, 0.040, 0.661], [0.662, 0.676, 0.566], [0.000, 0.000, 0.000], [0.323, 0.356, 0.779]]
}


{
  "formula": "Mg2PdAu2",
  "functional": "PBE-GGA",
  "state": "relaxed",
  "final_energy_ev_per_cell": -33.9,
  "e_above_lowest_polymorph_ev_per_atom": 0.153,
  "ef_ev_per_atom": -0.4035,
  "m_tot_mub_per_cell": 0.000,
  "lattice_angstrom": [[-6.346, -4.051, -0.850], [3.870, -6.360, 1.408], [-0.603, 0.306, 3.043]],
  "species": ["Mg", "Au", "Au", "Au", "Mg", "Mg", "Pd", "Au", "Mg", "Pd"],
  "fractional_positions": [[0.845, 0.655, 0.000], [0.356, 0.144, 0.500], [0.856, 0.356, 0.500], [0.144, 0.644, 0.500], [0.655, 0.155, 0.000], [0.345, 0.845, 0.000], [0.500, 0.500, 0.000], [0.644, 0.856, 0.500], [0.155, 0.345, 0.000], [0.000, 0.000, 0.000]]
}


{
  "formula": "Mg2Pd5Au",
  "functional": "PBE-GGA",
  "state": "relaxed",
  "final_energy_ev_per_cell": -36.4,
  "e_above_lowest_polymorph_ev_per_atom": 0.003,
  "ef_ev_per_atom": -0.4988,
  "m_tot_mub_per_cell": 0.000,
  "lattice_angstrom": [[-0.646, 2.868, -4.893], [-4.657, -3.083, -1.178], [0.436, 2.758, 4.888]],
  "species": ["Pd", "Pd", "Pd", "Pd", "Mg", "Au", "Pd", "Mg"],
  "fractional_positions": [[0.722, 0.722, 0.444], [0.722, 0.722, 0.944], [0.222, 0.722, 0.944], [0.722, 0.222, 0.944], [0.722, 0.222, 0.444], [0.222, 0.222, 0.444], [0.222, 0.222, 0.944], [0.222, 0.722, 0.444]]
}


{
  "formula": "Mg2Pd5Au3",
  "functional": "PBE-GGA",
  "state": "relaxed",
  "final_energy_ev_per_cell": -42.2,
  "ef_ev_per_atom": -0.3209,
  "m_tot_mub_per_cell": 0.000,
  "lattice_angstrom": [[-3.460, 2.272, -1.793], [-1.815, -1.862, -4.536], [-6.936, -0.698, 6.846]],
  "species": ["Pd", "Au", "Au", "Pd", "Pd", "Pd", "Pd", "Au", "Mg", "Mg"],
  "fractional_positions": [[0.130, 0.177, 0.563], [0.500, 0.500, 0.500], [0.742, 0.576, 0.941], [0.570, 0.609, 0.251], [0.870, 0.823, 0.437], [0.000, 0.000, 0.000], [0.430, 0.391, 0.749], [0.258, 0.424, 0.059], [0.281, 0.170, 0.263], [0.719, 0.830, 0.737]]
}